Record 1
DFT (PBE) results for a geometry-optimized Hf2NbH4 structure.

For the total moment, the calculation gives 0.0 μB per formula unit. The calculation puts the volume at 142.71 Å³/cell. Its electronic total energy is -89.1 eV per cell.

The structure belongs to space group I4/mmm (No. 139); the cell edges are 3.566, 3.566 and 11.225 Å and the angles 90.00°, 90.00° and 90.00°. The asymmetric unit holds Hf at (0.000, 0.000, 0.159), Nb at (0.000, 0.000, 0.500), H at (0.000, 0.000, 0.332) and H at (0.000, 0.500, 0.000).


Record 2
DFT (PBE) results for a geometry-optimized SrTcNiSbH structure.

For the total moment, the calculation gives 0.8 μB per formula unit. The calculation puts the volume at 283.96 Å³/cell. Its electronic total energy is -79.2 eV per cell.

The structure belongs to space group R3m (No. 160, hexagonal axes); the cell edges are 4.3090, 4.3090 and 17.6597 Å and the angles 90.00°, 90.00° and 120.00°. The asymmetric unit holds Sr at (0.0000, 0.0000, 0.0000), Tc at (0.0000, 0.0000, 0.5319), Ni at (0.0000, 0.0000, 0.2036), Sb at (0.0000, 0.0000, 0.8015) and H at (0.0000, 0.0000, 0.6291).


Record 3
DFT (PBE) results for a geometry-optimized NaSb2Br8 structure.

The calculation puts the formation energy (no corrections) at -679 kJ/mol of formula units. For the total moment, the calculation gives 0.0 μB per formula unit. The calculation puts the volume at 994.89 Å³/cell. Its electronic total energy is -60.0 eV per cell.

The structure belongs to space group C2/m (No. 12); the cell edges are 13.325, 8.267 and 9.033 Å and the angles 90.00°, 90.62° and 90.00°. The asymmetric unit holds Na at (0.000, 0.000, 0.000), Sb at (0.130, 0.000, 0.643), Br at (0.090, 0.000, 0.312), Br at (0.138, 0.233, 0.836) and Br at (0.181, 0.500, 0.418).


Record 4
DFT (PBE) results for a geometry-optimized Zr2CuRe structure.

For the total moment, the calculation gives 0.0 μB per formula unit. As for the calculated formation energy: -0.22 eV/atom. The calculation puts the volume at 71.94 Å³/cell. Its electronic total energy is -34.5 eV per cell.

The structure belongs to space group P4/mmm (No. 123); the cell edges are 3.338, 3.338 and 6.457 Å and the angles 90.00°, 90.00° and 90.00°. The asymmetric unit holds Zr at (0.000, 0.000, 0.245), Cu at (0.500, 0.500, 0.500) and Re at (0.500, 0.500, 0.000).


| no. | DOS(E_F) (states/eV/f.u.) |
| --- | --- |
| 1 | 1.8 |
| 2 | 4.1 |
| 3 | 6.7 |
| 4 | 3.1 |